Compound: Tl2Hg2BiPb
Source: Alexandria via LeMat-Bulk
Functional: PBE-GGA
Structure: optimized geometry

As for the formation energy: 0.01 eV/atom. Its total magnetic moment is 0.0 μB/cell.

It has space group Pmc2_1 (No. 26), with a = 5.630 Å, b = 9.876 Å, c = 6.536 Å, α = 90.00°, β = 90.00° and γ = 90.00°. Symmetry generates all atoms from Tl at (0.000, 0.013, 0.000), Tl at (0.500, 0.178, 0.320), Hg at (0.000, 0.329, 0.232), Hg at (0.500, 0.162, 0.817), Bi at (0.500, 0.494, 0.580) and Pb at (0.000, 0.336, 0.725).

Compound: Bi2P2Os
Source: Alexandria via LeMat-Bulk
Functional: PBE-GGA
Structure: optimized geometry

As for the formation energy: 0.45 eV/atom. Its total magnetic moment is 0.0 μB/cell. The energy above the most stable polymorph in this dataset is 0.000 eV/atom.

It has space group I4/mmm (No. 139), with a = 3.299 Å, b = 3.299 Å, c = 20.027 Å, α = 90.00°, β = 90.00° and γ = 90.00°. Symmetry generates all atoms from Bi at (0.000, 0.000, 0.089), P at (0.000, 0.500, 0.250) and Os at (0.000, 0.000, 0.500).

Compound: AcGdHoSn
Source: Alexandria via LeMat-Bulk
Functional: PBE-GGA
Structure: optimized geometry

As for the formation energy: -0.18 eV/atom. Its total magnetic moment is 32.0 μB/cell.

It has space group F-43m (No. 216), with a = 7.881 Å, b = 7.881 Å, c = 7.881 Å, α = 90.00°, β = 90.00° and γ = 90.00°. Symmetry generates all atoms from Ac at (0.000, 0.000, 0.000), Gd at (0.250, 0.250, 0.250), Ho at (0.250, 0.250, 0.750) and Sn at (0.000, 0.000, 0.500).

Compound: CsHf3Sn
Source: Alexandria via LeMat-Bulk
Functional: PBE-GGA
Structure: optimized geometry

As for the formation energy: 2.17 eV/atom. Its total magnetic moment is 1.3 μB/cell. The energy above the most stable polymorph in this dataset is 0.812 eV/atom.

It has space group Pm-3m (No. 221), with a = 5.244 Å, b = 5.244 Å, c = 5.244 Å, α = 90.00°, β = 90.00° and γ = 90.00°. Symmetry generates all atoms from Cs at (0.000, 0.000, 0.000), Hf at (0.000, 0.000, 0.500) and Sn at (0.500, 0.500, 0.500).

Compound: TcRuPt
Source: Alexandria via LeMat-Bulk
Functional: PBE-GGA
Structure: optimized geometry

As for the formation energy: -0.08 eV/atom. Its total magnetic moment is 0.0 μB/cell. The energy above the most stable polymorph in this dataset is 0.006 eV/atom.

It has space group Imm2 (No. 44), with a = 2.731 Å, b = 3.869 Å, c = 8.313 Å, α = 90.00°, β = 90.00° and γ = 90.00°. Symmetry generates all atoms from Tc at (0.000, 0.000, 0.000), Ru at (0.000, 0.000, 0.349) and Pt at (0.000, 0.000, 0.674).

Compound: LaGdErCd
Source: Alexandria via LeMat-Bulk
Functional: PBE-GGA
Structure: optimized geometry

As for the formation energy: -0.06 eV/atom. Its total magnetic moment is 31.7 μB/cell.

It has space group F-43m (No. 216), with a = 7.843 Å, b = 7.843 Å, c = 7.843 Å, α = 90.00°, β = 90.00° and γ = 90.00°. Symmetry generates all atoms from La at (0.000, 0.000, 0.000), Gd at (0.000, 0.000, 0.500), Er at (0.250, 0.250, 0.750) and Cd at (0.250, 0.250, 0.250).

Compound: ReSiBr2
Source: Alexandria via LeMat-Bulk
Functional: PBE-GGA
Structure: optimized geometry

Its total magnetic moment is 0.0 μB/cell. The formation energy (no corrections) comes out at 0.240 eV/atom. The energy above the most stable polymorph in this dataset is 0.104 eV/atom.

It has space group R3m (No. 160, hexagonal axes), with a = 3.2761 Å, b = 3.2761 Å, c = 27.5701 Å, α = 90.00°, β = 90.00° and γ = 120.00°. Symmetry generates all atoms from Re at (0.0000, 0.0000, 0.0000), Si at (0.0000, 0.0000, 0.7236), Br at (0.0000, 0.0000, 0.2628) and Br at (0.0000, 0.0000, 0.4591).

Compound: Zr2TlAs
Source: Alexandria via LeMat-Bulk
Functional: PBE-GGA
Structure: optimized geometry

As for the formation energy: -0.28 eV/atom. Its total magnetic moment is 0.0 μB/cell. The energy above the most stable polymorph in this dataset is 0.304 eV/atom.

It has space group I-4m2 (No. 119), with a = 4.165 Å, b = 4.165 Å, c = 9.870 Å, α = 90.00°, β = 90.00° and γ = 90.00°. Symmetry generates all atoms from Zr at (0.000, 0.000, 0.000), Zr at (0.000, 0.500, 0.250), Tl at (0.000, 0.000, 0.500) and As at (0.000, 0.500, 0.750).

Compound: K2Pm2SnS6
Source: Alexandria via LeMat-Bulk
Functional: PBE-GGA
Structure: optimized geometry

Its total magnetic moment is 0.0 μB/cell. The formation energy (no corrections) comes out at -1.418 eV/atom.

It has space group C2/m (No. 12), with a = 7.021 Å, b = 12.036 Å, c = 7.934 Å, α = 90.00°, β = 107.13° and γ = 90.00°. Symmetry generates all atoms from K at (0.000, 0.169, 0.000), Pm at (0.000, 0.332, 0.500), Sn at (0.000, 0.000, 0.500), S at (0.223, 0.157, 0.698) and S at (0.238, 0.000, 0.306).

Compound: DyTmPd
Source: Alexandria via LeMat-Bulk
Functional: PBE-GGA
Structure: optimized geometry

As for the formation energy: -0.41 eV/atom. Its total magnetic moment is 0.0 μB/cell. The energy above the most stable polymorph in this dataset is 0.223 eV/atom.

It has space group P3m1 (No. 156), with a = 4.7697 Å, b = 4.7697 Å, c = 3.7287 Å, α = 90.00°, β = 90.00° and γ = 120.00°. Symmetry generates all atoms from Dy at (0.0000, 0.0000, 0.0000), Tm at (0.3333, 0.6667, 0.4667) and Pd at (0.6667, 0.3333, 0.7082).

Compound: Y2Mg3
Source: Alexandria via LeMat-Bulk
Functional: PBE-GGA
Structure: optimized geometry

As for the formation energy: 0.21 eV/atom. Its total magnetic moment is 0.0 μB/cell. The energy above the most stable polymorph in this dataset is 0.301 eV/atom.

It has space group P-3m1 (No. 164), with a = 5.2712 Å, b = 5.2712 Å, c = 6.5382 Å, α = 90.00°, β = 90.00° and γ = 120.00°. Symmetry generates all atoms from Y at (0.3333, 0.6667, 0.3505), Mg at (0.0000, 0.0000, 0.5000) and Mg at (0.3333, 0.6667, 0.8480).

Compound: Ta2BTeCl
Source: Alexandria via LeMat-Bulk
Functional: PBE-GGA
Structure: optimized geometry

Its total magnetic moment is 0.1 μB/cell. The formation energy (no corrections) comes out at 2.515 eV/atom.

It has space group P4/mmm (No. 123), with a = 5.136 Å, b = 5.136 Å, c = 5.233 Å, α = 90.00°, β = 90.00° and γ = 90.00°. Symmetry generates all atoms from Ta at (0.000, 0.500, 0.000), B at (0.000, 0.000, 0.500), Te at (0.500, 0.500, 0.000) and Cl at (0.500, 0.500, 0.500).

Compound: Hf8Zn2Bi
Source: Alexandria via LeMat-Bulk
Functional: PBE-GGA
Structure: optimized geometry

As for the formation energy: 0.05 eV/atom. Its total magnetic moment is 0.0 μB/cell.

It has space group C2/m (No. 12), with a = 7.835 Å, b = 12.467 Å, c = 5.257 Å, α = 90.00°, β = 109.39° and γ = 90.00°. Symmetry generates all atoms from Hf at (0.000, 0.246, 0.000), Hf at (0.084, 0.500, 0.801), Hf at (0.203, 0.120, 0.618), Zn at (0.000, 0.307, 0.500) and Bi at (0.000, 0.000, 0.000).

Compound: KZrZn2
Source: Alexandria via LeMat-Bulk
Functional: PBE-GGA
Structure: optimized geometry

As for the formation energy: 0.26 eV/atom. Its total magnetic moment is 0.0 μB/cell. The energy above the most stable polymorph in this dataset is 0.186 eV/atom.

It has space group P4mm (No. 99), with a = 3.167 Å, b = 3.167 Å, c = 9.526 Å, α = 90.00°, β = 90.00° and γ = 90.00°. Symmetry generates all atoms from K at (0.000, 0.000, 0.000), Zr at (0.500, 0.500, 0.632), Zn at (0.000, 0.000, 0.440) and Zn at (0.500, 0.500, 0.285).

Compound: Ba6PAu2
Source: Alexandria via LeMat-Bulk
Functional: PBE-GGA
Structure: optimized geometry

As for the formation energy: -0.59 eV/atom. Its total magnetic moment is 0.0 μB/cell.

It has space group P2_1/c (No. 14), with a = 8.256 Å, b = 7.716 Å, c = 16.239 Å, α = 90.00°, β = 120.53° and γ = 90.00°. Symmetry generates all atoms from Ba at (0.002, 0.236, 0.340), Ba at (0.324, 0.234, 0.661), Ba at (0.326, 0.727, 0.000), P at (0.000, 0.000, 0.500) and Au at (0.324, 0.000, 0.325).

Compound: SnN
Source: Alexandria via LeMat-Bulk
Functional: PBE-GGA
Structure: optimized geometry

Its total magnetic moment is 0.0 μB/cell. The formation energy (no corrections) comes out at 0.418 eV/atom.

It has space group P2_12_12_1 (No. 19), with a = 5.386 Å, b = 5.924 Å, c = 8.015 Å, α = 90.00°, β = 90.00° and γ = 90.00°. Symmetry generates all atoms from Sn at (0.207, 0.045, 0.034), Sn at (0.242, 0.540, 0.789), N at (0.094, 0.398, 0.030) and N at (0.098, 0.883, 0.800).

Compound: BaCr2Pb
Source: Alexandria via LeMat-Bulk
Functional: PBE-GGA
Structure: optimized geometry

As for the formation energy: 0.74 eV/atom. Its total magnetic moment is 8.5 μB/cell.

It has space group P4/mmm (No. 123), with a = 4.958 Å, b = 4.958 Å, c = 4.511 Å, α = 90.00°, β = 90.00° and γ = 90.00°. Symmetry generates all atoms from Ba at (0.000, 0.000, 0.000), Cr at (0.000, 0.500, 0.500) and Pb at (0.500, 0.500, 0.000).

Compound: HgCNF2
Source: Alexandria via LeMat-Bulk
Functional: PBE-GGA
Structure: optimized geometry

Its total magnetic moment is 0.0 μB/cell. The formation energy (no corrections) comes out at 1.813 eV/atom. The energy above the most stable polymorph in this dataset is 1.923 eV/atom.

It has space group P4/mmm (No. 123), with a = 4.376 Å, b = 4.376 Å, c = 4.203 Å, α = 90.00°, β = 90.00° and γ = 90.00°. Symmetry generates all atoms from Hg at (0.000, 0.000, 0.000), C at (0.500, 0.500, 0.500), N at (0.000, 0.000, 0.500) and F at (0.000, 0.500, 0.000).

Compound: MgReTe2P
Source: Alexandria via LeMat-Bulk
Functional: PBE-GGA
Structure: optimized geometry

Its total magnetic moment is 0.0 μB/cell. The formation energy (no corrections) comes out at 0.786 eV/atom.

It has space group P4/mmm (No. 123), with a = 5.354 Å, b = 5.354 Å, c = 4.404 Å, α = 90.00°, β = 90.00° and γ = 90.00°. Symmetry generates all atoms from Mg at (0.000, 0.000, 0.000), Re at (0.500, 0.500, 0.000), Te at (0.000, 0.500, 0.500) and P at (0.500, 0.500, 0.500).

Compound: LiY2Al2
Source: Alexandria via LeMat-Bulk
Functional: PBE-GGA
Structure: optimized geometry

As for the formation energy: -0.28 eV/atom. Its total magnetic moment is 0.0 μB/cell. The energy above the most stable polymorph in this dataset is 0.000 eV/atom.

It has space group P4/mbm (No. 127), with a = 7.255 Å, b = 7.255 Å, c = 4.560 Å, α = 90.00°, β = 90.00° and γ = 90.00°. Symmetry generates all atoms from Li at (0.000, 0.000, 0.000), Y at (0.167, 0.333, 0.500) and Al at (0.133, 0.633, 0.000).